Here is a geometry-optimized Dy4Ga2N structure from the Alexandria database. Energies are from PBE.

Values from the calculation:
**Distance to the lowest polymorph of the same formula**: 0.000 eV per atom
**Electronic total energy**: -5.478 eV/atom
**Space group**: I4/mmm (139)
**ΔE_f (raw)**: -0.79 eV/atom
**Crystal system**: tetragonal

Cell and atoms, written as POSCAR:
```
Dy4Ga2N
1.0
-3.9450 -2.4908 0.1510
0.2979 -0.7505 -4.5976
5.8155 -4.6246 3.5014
N Dy Ga
1 4 2
Direct
0.0000 0.0000 0.0000
0.0000 0.5000 0.0000
0.5000 0.0000 0.0000
0.8304 0.8304 0.6608
0.1696 0.1696 0.3392
0.6328 0.6328 0.2655
0.3672 0.3672 0.7345
```


Here is a geometry-optimized CaFePAu structure from the Alexandria database. Energies are from PBE.

Values from the calculation:
**Electronic total energy**: -5.523 eV/atom
**Space group**: P4/nmm (129)
**ΔH_f (0 K)**: -735 meV/atom
**Crystal system**: tetragonal

Cell and atoms, written as POSCAR:
```
CaFePAu
1.0
-3.6866 0.5090 0.9603
0.3608 -2.6305 2.7790
2.6633 7.1584 6.4303
Fe Ca Au P
2 2 2 2
Direct
0.7500 0.2500 0.0000
0.2500 0.7500 0.0000
0.7500 0.7500 0.2490
0.2500 0.2500 0.7510
0.2500 0.7500 0.5000
0.7500 0.2500 0.5000
0.2500 0.2500 0.1112
0.7500 0.7500 0.8888
```


Here is a geometry-optimized YBi3Se2ClO8 structure from the Alexandria database. Energies are from PBE.

Values from the calculation:
**Electronic total energy**: -5.647 eV/atom
**Space group**: Pmmn (59)
**ΔE_f (raw)**: -1.21 eV/atom
**Crystal system**: orthorhombic

Cell and atoms, written as POSCAR:
```
YBi3Se2ClO8
1.0
7.7335 0.0000 0.0000
0.0000 7.7285 0.0000
0.0000 0.0000 9.7530
O Bi Y Cl Se
16 6 2 2 4
Direct
0.3879 0.5000 0.6479
0.7877 0.3205 0.1552
0.9361 0.5000 0.3588
0.2123 0.1795 0.3448
0.3879 0.5000 0.3521
0.2123 0.1795 0.6552
0.7877 0.3205 0.8448
0.9361 0.5000 0.6412
0.2123 0.8205 0.3448
0.7877 0.6795 0.1552
0.0639 0.0000 0.1412
0.7877 0.6795 0.8448
0.6121 0.0000 0.8521
0.2123 0.8205 0.6552
0.0639 0.0000 0.8588
0.6121 0.0000 0.1479
0.3517 0.0000 0.0000
0.5000 0.7500 0.7500
0.6483 0.5000 0.5000
0.5000 0.2500 0.2500
0.5000 0.2500 0.7500
0.5000 0.7500 0.2500
0.1734 0.5000 0.5000
0.8266 0.0000 0.0000
0.5769 0.0000 0.5000
0.4231 0.5000 0.0000
0.0826 0.0000 0.6797
0.9174 0.5000 0.8203
0.0826 0.0000 0.3203
0.9174 0.5000 0.1797
```


Here is a geometry-optimized Tm4In2H structure from the Alexandria database. Energies are from PBE.

Values from the calculation:
**Distance to the lowest polymorph of the same formula**: 0.047 eV per atom
**Electronic total energy**: -4.162 eV/atom
**Space group**: I4/mmm (139)
**Crystal system**: tetragonal

Cell and atoms, written as POSCAR:
```
Tm4In2H
1.0
4.5381 0.0000 0.0000
0.0000 4.5381 0.0000
2.2690 2.2690 8.2495
Tm In H
4 2 1
Direct
0.5000 0.0000 0.0000
0.0000 0.5000 0.0000
0.1754 0.1754 0.6492
0.8246 0.8246 0.3508
0.6356 0.6356 0.7288
0.3644 0.3644 0.2712
0.0000 0.0000 0.0000
```


Here is a geometry-optimized Y3MgNi8 structure from the Alexandria database. Energies are from PBE.

Values from the calculation:
**Electronic total energy**: -6.009 eV/atom
**Space group**: R3m (160)
**ΔH_f (0 K)**: -405 meV/atom
**Crystal system**: trigonal

Cell and atoms, written as POSCAR:
```
Y3MgNi8
1.0
5.0181 0.0000 0.0000
2.5091 4.3458 0.0000
2.5091 1.4486 8.2275
Y Mg Ni
3 1 8
Direct
0.5045 0.5045 0.4865
0.3768 0.3768 0.8697
0.9945 0.9945 0.0166
0.8726 0.8726 0.3821
0.9374 0.9374 0.6848
0.6877 0.6877 0.9369
0.9374 0.4403 0.6848
0.4403 0.9374 0.6848
0.4356 0.4356 0.1893
0.1881 0.1881 0.4357
0.4356 0.9395 0.1893
0.9395 0.4356 0.1893
```


Here is a geometry-optimized NdDy5Hg3 structure from the Alexandria database. Energies are from PBE.

Values from the calculation:
**Electronic total energy**: -3.482 eV/atom
**Space group**: P6_3/mcm (193)
**ΔH_f (0 K)**: -294 meV/atom
**Crystal system**: hexagonal

Cell and atoms, written as POSCAR:
```
NdDy5Hg3
1.0
-6.1447 0.8063 3.1940
3.9620 -1.6626 8.0420
-0.5160 8.5409 -3.1488
Hg Dy Nd
6 10 2
Direct
0.7500 0.3392 0.3392
0.2500 0.3392 0.0000
0.2500 0.0000 0.3392
0.7500 0.6608 0.0000
0.7500 0.0000 0.6608
0.2500 0.6608 0.6608
0.0000 0.3333 0.6666
0.5000 0.3333 0.6666
0.7500 0.0000 0.3314
0.2500 0.6687 0.0000
0.7500 0.6686 0.6686
0.2500 0.0000 0.6686
0.2500 0.3314 0.3314
0.5000 0.6667 0.3334
0.7500 0.3313 0.0000
0.0000 0.6667 0.3334
0.5000 0.0000 0.0000
0.0000 0.0000 0.0000
```


Here is a geometry-optimized AcTl3Sn structure from the Alexandria database. Energies are from PBE.

Values from the calculation:
**Distance to the lowest polymorph of the same formula**: 0.146 eV per atom
**Electronic total energy**: -2.964 eV/atom
**Space group**: I-4m2 (119)
**ΔH_f (0 K)**: 78 meV/atom
**Crystal system**: tetragonal

Cell and atoms, written as POSCAR:
```
AcTl3Sn
1.0
-4.1355 4.4440 -2.0459
-1.4524 -3.6733 -5.0432
-4.8018 -4.9245 9.0382
Tl Ac Sn
6 2 2
Direct
0.6244 0.8694 0.7387
0.1143 0.8694 0.7387
0.5913 0.5913 0.1826
0.1306 0.8857 0.2613
0.1306 0.3756 0.2613
0.4087 0.4087 0.8174
0.5300 0.0300 0.0601
0.9700 0.4700 0.9399
0.2500 0.7500 0.5000
0.0000 0.0000 0.0000
```


Here is a geometry-optimized Ba2MoIr structure from the Alexandria database. Energies are from PBE.

Values from the calculation:
**Distance to the lowest polymorph of the same formula**: 0.877 eV per atom
**Electronic total energy**: -4.669 eV/atom
**Space group**: R-3m (166)
**ΔH_f (0 K)**: 1216 meV/atom
**Crystal system**: trigonal

Cell and atoms, written as POSCAR:
```
Ba2MoIr
1.0
-2.2414 -9.8611 -0.0260
0.0512 -9.7201 2.7900
-3.4621 -8.9228 3.2656
Ba Ir Mo
2 1 1
Direct
0.9945 0.9945 0.9945
0.5055 0.5055 0.5055
0.2500 0.2500 0.2500
0.7500 0.7500 0.7500
```